Below is a geometry-optimized Pm4ScAg structure, with properties calculated at the PBE-GGA level.

N(E_F) = 7.7 states/eV per cell
formation energy = -52 meV/atom
energy = -28.498 eV per cell
total magnetization = 0.00 μB per formula unit
calculated density = 6.8 g/cm³

```
data_Pm4ScAg
_cell_length_a 3.613
_cell_length_b 3.613
_cell_length_c 13.773
_cell_angle_alpha 90.00
_cell_angle_beta 90.00
_cell_angle_gamma 90.00
_space_group_name_H-M_alt 'P 4/m m m'
_space_group_IT_number 123
_space_group_name_Hall '-P 4 2'
loop_
_atom_site_label
_atom_site_fract_x
_atom_site_fract_y
_atom_site_fract_z
Pm1 0.000 0.000 0.144
Pm2 0.500 0.500 0.334
Sc1 0.000 0.000 0.500
Ag1 0.500 0.500 0.000
```